(1)
Here is a relaxed structure of BaCoOs2 from the Alexandria database. Energies are from PBE.

## Properties
- Polymorph energy (0 for the lowest one): 1056.6 meV per atom
- VASP energy: -6.505 eV/atom
- Total moment: 1.79 μB/f.u.
- V: 18.4 Å³ per atom
- Calculated formation energy: 1367 meV/atom

```
data_BaCoOs2
_cell_length_a 5.3817
_cell_length_b 10.6883
_cell_length_c 2.8989
_cell_angle_alpha 90.00
_cell_angle_beta 118.29
_cell_angle_gamma 90.00
_space_group_name_H-M_alt 'C 1 2/m 1'
_space_group_IT_number 12
_space_group_name_Hall '-C 2y'
loop_
_atom_site_label
_atom_site_type_symbol
_atom_site_fract_x
_atom_site_fract_y
_atom_site_fract_z
Ba1 Ba 0.0000 0.0000 0.0000
Co1 Co 0.0000 0.5000 0.0000
Os1 Os 0.2500 0.2500 0.5000
```

***

(2)
Here is a relaxed structure of Sm8Te4CSe3 from the Alexandria database. Energies are from PBE.

## Properties
- VASP energy: -5.818 eV/atom
- Uncorrected formation energy: -1.443 eV per atom
- Total moment: 0.00 μB/f.u.
- V: 27.5 Å³ per atom

```
data_Sm8Te4CSe3
_cell_length_a 8.4295
_cell_length_b 8.4295
_cell_length_c 21.4391
_cell_angle_alpha 90.00
_cell_angle_beta 90.00
_cell_angle_gamma 120.00
_space_group_name_H-M_alt 'R -3 m'
_space_group_IT_number 166
_space_group_name_Hall '-R 3 2"'
loop_
_atom_site_label
_atom_site_type_symbol
_atom_site_fract_x
_atom_site_fract_y
_atom_site_fract_z
Sm1 Sm 0.0000 0.0000 0.2404
Sm2 Sm 0.0339 0.5169 0.2347
Te1 Te 0.0000 0.0000 0.0000
Te2 Te 0.0000 0.5000 0.0000
C1 C 0.0000 0.0000 0.5000
Se1 Se 0.0000 0.5000 0.5000
```

***

- Look up the V of the first one.
  18.4 Å³ per atom

***

- total moment of number 2 (Sm8Te4CSe3)?
  0.00 μB/f.u.

***

- VASP energy of number 1 (BaCoOs2)?
  -6.505 eV/atom